1.
## LaAg2Pt (PBE)

Data for LaAg2Pt after structural relaxation.

a b c (Å): 5.446 5.446 8.138
angles (deg): 90.00 90.00 132.36
Sites, in units of the cell vectors:
La 0.068 0.932 0.750
La 0.932 0.068 0.250
Ag 0.361 0.639 0.554
Ag 0.361 0.639 0.946
Ag 0.639 0.361 0.054
Ag 0.639 0.361 0.446
Pt 0.223 0.777 0.250
Pt 0.777 0.223 0.750

Results
Energy above the lowest structure with this stoichiometry (meV/atom): 0
Energy relative to the elements (eV/f.u.): -2.09
Final energy (eV per atom): -4.690
DOS at the Fermi energy (states/eV/cell): 3.348



2.
## TbPaAu4 (PBE)

Data for TbPaAu4 after structural relaxation.

a b c (Å): 5.309 5.309 7.751
angles (deg): 111.08 111.08 40.38
Sites, in units of the cell vectors:
Tb 0.000 0.000 0.000
Pa 0.000 0.000 0.500
Au 0.333 0.333 0.167
Au 0.335 0.335 0.668
Au 0.665 0.665 0.332
Au 0.667 0.667 0.833

Results
Energy relative to the elements (eV/f.u.): -3.61
Final energy (eV per atom): -5.141
DOS at the Fermi energy (states/eV/cell): 5.737



3.
## Ac6Ru2SeI3 (PBE)

Data for Ac6Ru2SeI3 after structural relaxation.

a b c (Å): 7.726 7.726 8.943
angles (deg): 98.23 98.23 119.95
Sites, in units of the cell vectors:
Ac 0.080 0.437 0.812
Ac 0.205 0.205 0.188
Ac 0.437 0.080 0.812
Ac 0.563 0.920 0.188
Ac 0.795 0.795 0.812
Ac 0.920 0.563 0.188
Ru 0.167 0.833 0.000
Ru 0.833 0.167 0.000
Se 0.500 0.500 0.000
I 0.000 0.000 0.500
I 0.336 0.664 0.500
I 0.664 0.336 0.500

Results
Final energy (eV per atom): -5.254
DOS at the Fermi energy (states/eV/cell): 10.322
Energy relative to the elements, uncorrected (eV/atom): -0.98



4.
## Tb2ScZn4 (PBE)

Data for Tb2ScZn4 after structural relaxation.

a b c (Å): 8.587 8.587 8.587
angles (deg): 32.45 32.45 32.45
Sites, in units of the cell vectors:
Tb 0.246 0.246 0.246
Tb 0.754 0.754 0.754
Sc 0.000 0.000 0.000
Zn 0.124 0.124 0.124
Zn 0.370 0.370 0.370
Zn 0.630 0.630 0.630
Zn 0.876 0.876 0.876

Results
Energy relative to the elements (eV/f.u.): -0.87
Final energy (eV per atom): -3.080
DOS at the Fermi energy (states/eV/cell): 5.369



5.
## La2ScCoSn (PBE)

Data for La2ScCoSn after structural relaxation.

a b c (Å): 5.150 5.150 5.114
angles (deg): 90.00 90.00 90.00
Sites, in units of the cell vectors:
La 0.000 0.500 0.000
La 0.500 0.000 0.000
Sc 0.000 0.000 0.500
Co 0.000 0.000 0.000
Sn 0.500 0.500 0.500

Results
Energy relative to the elements (eV/f.u.): -2.02
Final energy (eV per atom): -5.863
DOS at the Fermi energy (states/eV/cell): 3.043



6.
## MgTaCu (PBE)

Data for MgTaCu after structural relaxation.

a b c (Å): 4.399 3.220 7.440
angles (deg): 90.00 106.88 90.00
Sites, in units of the cell vectors:
Mg 0.179 0.000 0.359
Mg 0.821 0.000 0.641
Ta 0.000 0.500 0.000
Ta 0.500 0.000 0.000
Cu 0.348 0.500 0.694
Cu 0.652 0.500 0.306

Results
Energy above the lowest structure with this stoichiometry (meV/atom): 58
Energy relative to the elements (eV/f.u.): 0.42
Final energy (eV per atom): -5.708
DOS at the Fermi energy (states/eV/cell): 3.902



7.
## Be4HgTe3O12 (PBE)

Data for Be4HgTe3O12 after structural relaxation.

a b c (Å): 6.534 6.534 6.534
angles (deg): 104.49 104.49 104.49
Sites, in units of the cell vectors:
Be 0.000 0.000 0.000
Be 0.000 0.451 0.549
Be 0.451 0.549 0.000
Be 0.549 0.000 0.451
Hg 0.500 0.500 0.500
Te 0.044 0.956 0.500
Te 0.500 0.044 0.956
Te 0.956 0.500 0.044
O 0.000 0.602 0.398
O 0.000 0.850 0.150
O 0.133 0.285 0.522
O 0.150 0.000 0.850
O 0.285 0.522 0.133
O 0.398 0.000 0.602
O 0.478 0.715 0.867
O 0.522 0.133 0.285
O 0.602 0.398 0.000
O 0.715 0.867 0.478
O 0.850 0.150 0.000
O 0.867 0.478 0.715

Results
Final energy (eV per atom): -5.619
DOS at the Fermi energy (states/eV/cell): 4.109
Energy relative to the elements, uncorrected (eV/atom): -1.41



8.
## HoTm5 (PBE)

Data for HoTm5 after structural relaxation.

a b c (Å): 7.808 7.808 4.921
angles (deg): 90.00 90.00 143.18
Sites, in units of the cell vectors:
Ho 0.000 0.000 0.000
Tm 0.167 0.833 0.500
Tm 0.333 0.667 0.000
Tm 0.500 0.500 0.500
Tm 0.667 0.333 0.000
Tm 0.833 0.167 0.500

Results
Energy relative to the elements (eV/f.u.): 0.16
Final energy (eV per atom): -4.463
DOS at the Fermi energy (states/eV/cell): 7.792